# RePNCl2, optimized geometry, DFT GGA-PBE
# Density of states at the Fermi level ... 0.31 states/eV/atom
# Crystal system ... tetragonal
# ΔE to the lowest computed polymorph ... 517 meV per atom
# Uncorrected energy ... -4.23 eV/atom
# Mass density ... 6.26 Mg/m³
data_RePNCl2
_chemical_formula_sum 'Re1 P1 N1 Cl2'
_space_group_name_H-M_alt 'P 4/m m m'
_space_group_IT_number 123
_space_group_name_Hall '-P 4 2'
_cell_length_a 4.1155
_cell_length_b 4.1155
_cell_length_c 4.7283
_cell_angle_alpha 90.00
_cell_angle_beta 90.00
_cell_angle_gamma 90.00
loop_
_atom_site_label
_atom_site_type_symbol
_atom_site_fract_x
_atom_site_fract_y
_atom_site_fract_z
Re1 Re 0.0000 0.0000 0.0000
P1 P 0.5000 0.5000 0.0000
N1 N 0.5000 0.5000 0.5000
Cl1 Cl 0.0000 0.5000 0.5000